## HfInCu (PBE)

Data for a geometry-optimized HfInCu structure.

Structure (extended XYZ):
```
12
Lattice="6.320 0.000 0.000 0.000 3.374 0.000 0.000 0.000 10.662" Properties=species:S:1:pos:R:3 pbc="T T T"
Hf 0.830 0.843 0.948
Hf 2.330 2.530 6.279
Hf 3.990 0.843 4.383
Hf 5.490 2.530 9.714
In 0.804 0.843 4.147
In 2.356 2.530 9.478
In 3.964 0.843 1.184
In 5.516 2.530 6.515
Cu 0.697 0.843 8.103
Cu 2.463 2.530 2.772
Cu 3.857 0.843 7.891
Cu 5.623 2.530 2.559
```

Computed properties:
**Volume**: 18.9 A^3/atom
**Energy of formation**: -0.037 eV per atom
**DFT total energy**: -5.6331 eV/atom
**Crystal system**: orthorhombic
**Size of the total moment**: 0.0 μB/cell